# 1
BClF2: relaxed, GGA-PBE.

abc: 5.166 5.216 5.216
angles: 66.36 60.32 60.32
Element x y z (fractional)
F 0.838 0.676 0.648
Cl 0.000 0.938 0.062
F 0.162 0.352 0.324
B 0.000 0.634 0.366

Output
symmetry = Imm2
mass density = 1.3 g/cm³

---

# 2
BClF3: relaxed, GGA-PBE.

abc: 4.737 4.737 4.737
angles: 95.06 95.06 95.06
Last column: magnetic moment on the atom in μB.
Element x y z (fractional)
F 0.218 0.888 0.218  0.01
B 0.104 0.104 0.104  0.00
Cl 0.697 0.697 0.697  0.71
F 0.218 0.218 0.888  0.01
F 0.888 0.218 0.218  0.01

Output
symmetry = R3m
mass density = 1.6 g/cm³

---

# 3
BCl3F: relaxed, GGA-PBE.

abc: 4.678 4.678 4.678
angles: 90.00 90.00 90.00
Element x y z (fractional)
F 0.000 0.000 0.000
B 0.500 0.500 0.500
Cl 0.000 0.000 0.500
Cl 0.000 0.500 0.000
Cl 0.500 0.000 0.000

Output
symmetry = Pm-3m
mass density = 2.2 g/cm³

---

no.,E_form (uncorrected) (eV/atom),DOS at the Fermi energy (states/eV/atom),DFT total energy (eV per cell)
1,-2.168,0.00,-20.938
2,-1.930,1.34,-23.786
3,1.164,0.47,-8.269